No. 1
Computed, not measured: a relaxed structure of Ca4Pu3ZnN8 at the PBE level of DFT. Values from VASP.

Calculated values
E_form (uncorrected)   -0.9701 eV per atom

Quantum ESPRESSO input file:
```
&SYSTEM
  ibrav = 0, nat = 16, ntyp = 4
/
ATOMIC_SPECIES
N 14.01 N.upf
Ca 40.08 Ca.upf
Zn 65.41 Zn.upf
Pu 244.00 Pu.upf
CELL_PARAMETERS angstrom
6.8416 0.0000 0.0000
0.0000 6.8985 0.0316
-3.4208 -3.4168 4.8453
ATOMIC_POSITIONS angstrom
N 3.4208 0.2306 2.4479
N 1.6181 1.6352 4.7184
Ca 3.4208 0.0000 0.0000
Ca 0.0000 0.0000 0.0000
N 5.0389 1.8465 0.1586
Ca 1.7104 -1.7084 2.4227
Zn 0.0000 3.4493 0.0158
Pu 3.4208 3.4493 0.0158
N 0.0000 3.2512 2.4291
N 0.0000 0.1477 2.5225
N 1.8028 1.8465 0.1586
Ca -1.7104 -1.7084 2.4227
Pu -1.7104 1.7409 2.4385
N -1.6181 1.6352 4.7184
N 3.4208 3.3340 2.3544
Pu 1.7104 1.7409 2.4385
```

No. 2
Computed, not measured: a relaxed structure of CaPu2ZnN4 at the PBE level of DFT. Values from VASP.

Calculated values
E_form (uncorrected)   -0.9094 eV per atom

Quantum ESPRESSO input file:
```
&SYSTEM
  ibrav = 0, nat = 16, ntyp = 4
/
ATOMIC_SPECIES
N 14.01 N.upf
Pu 244.00 Pu.upf
Zn 65.41 Zn.upf
Ca 40.08 Ca.upf
CELL_PARAMETERS angstrom
3.4923 0.0000 0.0000
-1.7462 5.7058 0.0000
0.0000 0.0000 11.5957
ATOMIC_POSITIONS angstrom
N 0.0000 4.9872 8.6968
Pu 0.0000 4.2304 6.4180
N 0.0000 0.0000 5.7978
Zn 1.7462 3.7911 8.6968
N 0.0000 0.0000 0.0000
Ca 0.0000 1.0966 8.6968
Pu 0.0000 4.2304 10.9755
Zn 0.0000 1.9147 2.8989
N 1.7462 0.7185 2.8989
Ca 1.7462 4.6092 2.8989
N 1.7462 2.7444 10.3762
N 1.7462 2.7444 7.0173
Pu 1.7462 1.4754 0.6202
Pu 1.7462 1.4754 5.1776
N 0.0000 2.9614 4.5784
N 0.0000 2.9614 1.2195
```

no.,magnetic moment (μB per cell)
1,10.00
2,16.00